This record from Alexandria via LeMat-Bulk describes CeHoTlPb after structural relaxation. The functional is GGA-PBE.

The structure belongs to space group F-43m (No. 216); the cell edges are 7.723, 7.723 and 7.723 Å and the angles 90.00°, 90.00° and 90.00°. The inequivalent atoms are Ce at (0.000, 0.000, 0.000), Ho at (0.000, 0.000, 0.500), Tl at (0.250, 0.250, 0.250) and Pb at (0.250, 0.250, 0.750).

Its crystal system is cubic. As for the formation enthalpy at 0 K: -1.28 eV/f.u. The density of states at the Fermi level is 8.758 states/eV/f.u. The energy above the most stable polymorph in this dataset is 27 meV/atom.